1.
A plane-wave DFT calculation with PBE-GGA was carried out for a relaxed Zr4Nb2P3C3 crystal.

VASP energy: -9.17 eV/atom
magnetic moment: 0.001 μB per cell
space group: No. 15
calculated volume: 362.09 Å³ per cell

abc: 5.880 5.880 12.559
angles: 103.54 103.54 60.02
Atoms (fractional coordinates):
P: 0.903 0.097 0.250
P: 0.416 0.265 0.750
P: 0.097 0.903 0.750
P: 0.265 0.416 0.250
P: 0.735 0.584 0.750
P: 0.584 0.735 0.250
Zr: 0.963 0.799 0.395
Zr: 0.702 0.871 0.605
Zr: 0.871 0.702 0.105
Zr: 0.201 0.037 0.105
Zr: 0.298 0.129 0.395
Zr: 0.129 0.298 0.895
Zr: 0.037 0.201 0.605
Zr: 0.799 0.963 0.895
C: 0.664 0.173 0.500
C: 0.173 0.664 0.000
C: 0.000 0.500 0.500
C: 0.500 0.000 0.000
C: 0.336 0.827 0.500
C: 0.827 0.336 0.000
Nb: 0.467 0.636 0.902
Nb: 0.364 0.533 0.598
Nb: 0.533 0.364 0.098
Nb: 0.636 0.467 0.402

2.
A plane-wave DFT calculation with PBE-GGA was carried out for a relaxed Zr2Nb4P3C3 crystal.

VASP energy: -9.33 eV/atom
magnetic moment: 0.001 μB per cell
space group: No. 15
calculated volume: 344.52 Å³ per cell

abc: 5.789 5.789 12.335
angles: 103.58 103.58 59.99
Atoms (fractional coordinates):
Nb: 0.799 0.968 0.401
Nb: 0.968 0.799 0.901
Nb: 0.301 0.135 0.901
Nb: 0.201 0.032 0.599
Nb: 0.699 0.865 0.099
Nb: 0.032 0.201 0.099
Nb: 0.865 0.699 0.599
Nb: 0.135 0.301 0.401
P: 0.762 0.584 0.250
P: 0.071 0.929 0.250
P: 0.238 0.416 0.750
P: 0.929 0.071 0.750
P: 0.416 0.238 0.250
P: 0.584 0.762 0.750
C: 0.162 0.669 0.500
C: 0.838 0.331 0.500
C: 0.331 0.838 0.000
C: 0.500 0.000 0.500
C: 0.669 0.162 0.000
C: 0.000 0.500 0.000
Zr: 0.630 0.465 0.894
Zr: 0.535 0.370 0.606
Zr: 0.370 0.535 0.106
Zr: 0.465 0.630 0.394

3.
A plane-wave DFT calculation with PBE-GGA was carried out for a relaxed Nb4PbC3 crystal.

VASP energy: -9.35 eV/atom
magnetic moment: 0.003 μB per cell
space group: No. 194
calculated volume: 224.52 Å³ per cell

abc: 3.212 3.212 25.121
angles: 90.00 90.00 120.00
Atoms (fractional coordinates):
C: 0.000 0.000 0.500
C: 0.000 0.000 0.000
C: 0.667 0.333 0.104
C: 0.333 0.667 0.896
C: 0.667 0.333 0.396
C: 0.333 0.667 0.604
Nb: 0.667 0.333 0.947
Nb: 0.333 0.667 0.053
Nb: 0.000 0.000 0.150
Nb: 0.000 0.000 0.850
Nb: 0.667 0.333 0.553
Nb: 0.000 0.000 0.650
Nb: 0.333 0.667 0.447
Nb: 0.000 0.000 0.350
Pb: 0.333 0.667 0.250
Pb: 0.667 0.333 0.750

4.
A plane-wave DFT calculation with PBE-GGA was carried out for a relaxed Nb4SbPbC2 crystal.

VASP energy: -8.65 eV/atom
magnetic moment: 0.008 μB per cell
space group: No. 187
calculated volume: 131.68 Å³ per cell

abc: 3.327 3.327 13.734
angles: 90.00 90.00 120.00
Atoms (fractional coordinates):
Nb: 0.667 0.333 0.176
Nb: 0.000 0.000 0.340
Nb: 0.667 0.333 0.824
Nb: 0.000 0.000 0.660
C: 0.333 0.667 0.743
C: 0.333 0.667 0.257
Pb: 0.000 0.000 0.000
Sb: 0.667 0.333 0.500